VASP calculation (GGA-PBE) on a relaxed NpAl2Cu crystal.

```
data_NpAl2Cu
_chemical_formula_sum 'Np3 Al6 Cu3'
_symmetry_space_group_name_H-M 'R -3 m'
_symmetry_Int_Tables_number 166
_symmetry_space_group_name_Hall '-R 3 2"'
_cell_length_a 2.8071
_cell_length_b 2.8071
_cell_length_c 28.6974
_cell_angle_alpha 90.00
_cell_angle_beta 90.00
_cell_angle_gamma 120.00
loop_
_atom_site_label
_atom_site_fract_x
_atom_site_fract_y
_atom_site_fract_z
_atom_site_occupancy
Np1 0.0000 0.0000 0.0000 1
Al1 0.0000 0.0000 0.2395 1
Cu1 0.0000 0.0000 0.5000 1
```

**Total DFT energy (no corrections)**: -6.170 eV per atom
**Energy of formation from the pure elements**: -0.04 eV/atom
**Density**: 9.02 g cm⁻³
**Total moment**: 2.58 μB per formula unit